Entry from Alexandria: an optimized crystal structure of Sc2HgHO (PBE).

As for the crystal system: tetragonal. The calculation puts the total magnetic moment at 0.00 Bohr magnetons per cell. As for the total energy: -25.653 eV for the cell shown.

The space group is P4/mmm (No. 123) and the conventional cell measures 4.179, 4.179 and 4.704 Å, with angles of 90.00, 90.00 and 90.00 degrees. The inequivalent atoms are Sc at (0.000, 0.500, 0.000), Hg at (0.000, 0.000, 0.500), H at (0.500, 0.500, 0.500) and O at (0.500, 0.500, 0.000).

Entry from Alexandria: an optimized crystal structure of HgH6Se2O2 (PBE).

As for the crystal system: triclinic. The calculation puts the total magnetic moment at 0.00 Bohr magnetons per cell. As for the total energy: -43.396 eV for the cell shown.

The space group is P-1 (No. 2) and the conventional cell measures 4.810, 5.563 and 7.558 Å, with angles of 95.92, 107.83 and 98.14 degrees. The inequivalent atoms are Hg at (0.000, 0.000, 0.000), H at (0.336, 0.228, 0.463), H at (0.365, 0.100, 0.661), H at (0.380, 0.409, 0.667), Se at (0.482, 0.202, 0.237) and O at (0.278, 0.240, 0.590).

Entry from Alexandria: an optimized crystal structure of HgH2SeO5 (PBE).

As for the crystal system: monoclinic. The calculation puts the total magnetic moment at 0.00 Bohr magnetons per cell. As for the total energy: -166.381 eV for the cell shown.

The space group is P2_1/c (No. 14) and the conventional cell measures 8.149, 7.770 and 8.680 Å, with angles of 90.00, 121.81 and 90.00 degrees. The inequivalent atoms are Hg at (0.214, 0.234, 0.460), H at (0.206, 0.522, 0.694), H at (0.415, 0.062, 0.296), Se at (0.262, 0.612, 0.250), O at (0.113, 0.730, 0.615), O at (0.119, 0.021, 0.781), O at (0.275, 0.091, 0.236), O at (0.352, 0.505, 0.138) and O at (0.445, 0.695, 0.438).

Entry from Alexandria: an optimized crystal structure of Tc2HgHO8 (PBE).

As for the crystal system: monoclinic. The calculation puts the total magnetic moment at 0.00 Bohr magnetons per cell. As for the total energy: -148.556 eV for the cell shown.

The space group is C2/m (No. 12) and the conventional cell measures 12.475, 5.144 and 7.486 Å, with angles of 90.00, 124.17 and 90.00 degrees. The inequivalent atoms are Tc at (0.189, 0.000, 0.227), Hg at (0.000, 0.000, 0.500), H at (0.000, 0.500, 0.000), O at (0.115, 0.273, 0.064), O at (0.147, 0.500, 0.673) and O at (0.168, 0.000, 0.442).

Entry from Alexandria: an optimized crystal structure of Ti6Hg2HO (PBE).

As for the crystal system: cubic. The calculation puts the total magnetic moment at 0.00 Bohr magnetons per cell. As for the total energy: -252.350 eV for the cell shown.

The space group is Fm-3m (No. 225) and the conventional cell measures 8.346, 8.346 and 8.346 Å, with angles of 90.00, 90.00 and 90.00 degrees. The inequivalent atoms are Ti at (0.000, 0.000, 0.242), Hg at (0.250, 0.250, 0.250), H at (0.000, 0.000, 0.000) and O at (0.000, 0.000, 0.500).

Entry from Alexandria: an optimized crystal structure of TlHgHO (PBE).

As for the crystal system: monoclinic. The calculation puts the total magnetic moment at 0.00 Bohr magnetons per cell. As for the total energy: -26.570 eV for the cell shown.

The space group is Cm (No. 8) and the conventional cell measures 14.332, 3.543 and 3.541 Å, with angles of 90.00, 103.08 and 90.00 degrees. The inequivalent atoms are Tl at (0.000, 0.000, 0.000), Hg at (0.295, 0.000, 0.309), H at (0.141, 0.500, 0.628) and O at (0.071, 0.500, 0.566).